Record 1
# HfGaAgS2

A relaxed structure of HfGaAgS2 (GGA-PBE, Alexandria via LeMat-Bulk).

Cell and atoms, written as POSCAR:
```
HfGaAgS2
1.0
-0.811 -4.582 -1.525
5.101 -1.435 1.600
-1.720 -1.171 4.433
Ga Ag S Hf
1 1 2 1
direct
0.500 0.500 0.500
0.000 0.500 0.000
0.500 0.000 0.000
0.000 0.000 0.500
0.000 0.000 0.000
```

Computed properties:
* calculated total energy: -5.1005 eV/atom
* space-group type: P4/mmm (123)
* V: 133 Å³ per cell

---

Record 2
# HfScGa2Ag

A relaxed structure of HfScGa2Ag (GGA-PBE, Alexandria via LeMat-Bulk).

Cell and atoms, written as POSCAR:
```
HfScGa2Ag
1.0
5.051 0.000 0.000
0.000 5.104 0.000
0.000 0.000 5.051
Ga Ag Hf Sc
2 1 1 1
direct
0.000 0.000 0.500
0.500 0.000 0.000
0.000 0.500 0.000
0.000 0.000 0.000
0.500 0.500 0.500
```

Computed properties:
* calculated total energy: -4.4487 eV/atom
* space-group type: P4/mmm (123)
* ΔE_f: 0.59 eV per atom
* V: 130 Å³ per cell

---

Record 3
# SmHfGaAg

A relaxed structure of SmHfGaAg (GGA-PBE, Alexandria via LeMat-Bulk).

Cell and atoms, written as POSCAR:
```
SmHfGaAg
1.0
4.991 0.000 0.000
2.495 4.322 0.000
2.495 1.441 4.075
Ag Sm Hf Ga
1 1 1 1
direct
0.250 0.250 0.250
0.000 0.000 0.000
0.500 0.500 0.500
0.750 0.750 0.750
```

Computed properties:
* calculated total energy: -5.3381 eV/atom
* space-group type: F-43m (216)
* ΔE_f: -0.20 eV per atom
* V: 88 Å³ per cell

---

Record 4
# Hf2TaGaAg

A relaxed structure of Hf2TaGaAg (GGA-PBE, Alexandria via LeMat-Bulk).

Cell and atoms, written as POSCAR:
```
Hf2TaGaAg
1.0
-2.987 4.034 0.506
-3.723 -2.419 -2.687
-1.852 -1.910 4.286
Ta Ga Hf Ag
1 1 2 1
direct
0.000 0.000 0.000
0.500 0.500 0.500
0.000 0.000 0.500
0.500 0.000 0.000
0.000 0.500 0.000
```

Computed properties:
* calculated total energy: -6.3418 eV/atom
* space-group type: P4/mmm (123)
* ΔE_f: 1.19 eV per atom
* V: 132 Å³ per cell

---

Record 5
# TbHfGaAg

A relaxed structure of TbHfGaAg (GGA-PBE, Alexandria via LeMat-Bulk).

Cell and atoms, written as POSCAR:
```
TbHfGaAg
1.0
-3.952 -0.070 -2.973
-3.883 -2.853 1.115
-4.244 2.066 1.478
Tb Ga Hf Ag
1 1 1 1
direct
0.000 0.000 0.000
0.750 0.750 0.750
0.500 0.500 0.500
0.250 0.250 0.250
```

Computed properties:
* calculated total energy: -5.3500 eV/atom
* space-group type: F-43m (216)
* ΔE_f: -0.23 eV per atom
* V: 86 Å³ per cell

---

Record 6
# HfGaAg2Te

A relaxed structure of HfGaAg2Te (GGA-PBE, Alexandria via LeMat-Bulk).

Cell and atoms, written as POSCAR:
```
HfGaAg2Te
1.0
-4.417 -1.880 0.148
2.037 -4.713 0.932
-0.201 0.846 4.723
Ga Te Ag Hf
1 1 2 1
direct
0.000 0.000 0.000
0.500 0.500 0.500
0.000 0.000 0.500
0.500 0.000 0.000
0.000 0.500 0.000
```

Computed properties:
* calculated total energy: -3.9764 eV/atom
* space-group type: P4/mmm (123)
* V: 120 Å³ per cell

---

Record 7
# HfZrGaAg

A relaxed structure of HfZrGaAg (GGA-PBE, Alexandria via LeMat-Bulk).

Cell and atoms, written as POSCAR:
```
HfZrGaAg
1.0
-0.633 -1.476 -4.513
3.748 -0.305 -2.969
1.630 -4.293 -1.367
Ag Zr Ga Hf
1 1 1 1
direct
0.750 0.750 0.750
0.500 0.500 0.500
0.250 0.250 0.250
0.000 0.000 0.000
```

Computed properties:
* calculated total energy: -6.3163 eV/atom
* space-group type: F-43m (216)
* ΔE_f: -0.22 eV per atom
* V: 78 Å³ per cell

---

Record 8
# GaAg2Hg2

A relaxed structure of GaAg2Hg2 (GGA-PBE, Alexandria via LeMat-Bulk).

Cell and atoms, written as POSCAR:
```
GaAg2Hg2
1.0
-3.190 -2.627 -0.261
2.639 -3.184 -0.217
-0.381 -3.459 6.612
Ga Ag Hg
1 2 2
direct
0.000 0.000 0.000
0.597 0.597 0.806
0.403 0.403 0.194
0.750 0.250 0.500
0.250 0.750 0.500
```

Computed properties:
* calculated total energy: -1.6431 eV/atom
* offset from the most stable computed form: 0.104 eV/atom
* space-group type: I4/mmm (139)
* ΔE_f: 0.22 eV per atom
* V: 118 Å³ per cell

---

Record 9
# GaAg2Hg2

A relaxed structure of GaAg2Hg2 (GGA-PBE, Alexandria via LeMat-Bulk).

Cell and atoms, written as POSCAR:
```
GaAg2Hg2
1.0
-2.893 2.231 -1.471
-1.846 -0.102 3.477
1.202 7.062 3.075
Ag Hg Ga
2 2 1
direct
0.250 0.750 0.500
0.750 0.250 0.500
0.600 0.600 0.801
0.400 0.400 0.199
0.000 0.000 0.000
```

Computed properties:
* calculated total energy: -1.7137 eV/atom
* offset from the most stable computed form: 0.033 eV/atom
* space-group type: I4/mmm (139)
* ΔE_f: 0.15 eV per atom
* V: 113 Å³ per cell

---

Record 10
# GaAg2Hg

A relaxed structure of GaAg2Hg (GGA-PBE, Alexandria via LeMat-Bulk).

Cell and atoms, written as POSCAR:
```
GaAg2Hg
1.0
4.524 0.000 0.000
2.262 3.918 0.000
2.262 1.306 4.681
Ag Hg Ga
2 1 1
direct
0.056 0.056 0.833
0.270 0.270 0.189
0.490 0.490 0.531
0.685 0.685 0.946
```

Computed properties:
* calculated total energy: -2.1697 eV/atom
* space-group type: R3m (160)
* ΔE_f: 0.09 eV per atom
* V: 83 Å³ per cell

---

Record 11
# GaAg2Hg

A relaxed structure of GaAg2Hg (GGA-PBE, Alexandria via LeMat-Bulk).

Cell and atoms, written as POSCAR:
```
GaAg2Hg
1.0
3.136 0.000 0.000
-1.568 2.632 -0.002
0.000 -0.017 9.283
Ag Ga Hg
2 1 1
direct
0.337 0.673 0.734
0.663 0.327 0.266
0.000 0.000 0.500
0.000 0.000 0.000
```

Computed properties:
* calculated total energy: -2.2127 eV/atom
* space-group type: C2/m (12)
* ΔE_f: 0.05 eV per atom
* V: 77 Å³ per cell

---

Record 12
# Ga2AgHg2

A relaxed structure of Ga2AgHg2 (GGA-PBE, Alexandria via LeMat-Bulk).

Cell and atoms, written as POSCAR:
```
Ga2AgHg2
1.0
-3.170 1.756 1.067
-1.992 -2.145 -2.387
-3.620 -5.486 4.963
Hg Ga Ag
2 2 1
direct
0.404 0.404 0.192
0.596 0.596 0.808
0.750 0.250 0.500
0.250 0.750 0.500
0.000 0.000 0.000
```

Computed properties:
* calculated total energy: -1.7511 eV/atom
* offset from the most stable computed form: 0.062 eV/atom
* space-group type: I4/mmm (139)
* ΔE_f: 0.15 eV per atom
* V: 111 Å³ per cell

---

Q: Number 3 is which compound?
A: SmHfGaAg

---

Q: The highest V belongs to which entry?
A: HfGaAgS2

---

Q: Look up the calculated total energy of the eighth one.
A: -1.6431 eV/atom